VASP calculation (PBE) on Sb2TeBr after structural relaxation.

```
Sb2TeBr
1.0
3.8503 0.0000 0.0000
0.0000 4.8305 0.0000
0.0000 0.0000 6.1135
Sb Te Br
2 1 1
Direct
0.0000 0.0000 0.0000
0.5000 0.0000 0.5000
0.0000 0.5000 0.5000
0.5000 0.5000 0.0000
```

Computed properties:
Space-group type = Pmmm (47)
ΔE_f (raw) = 0.20 eV/atom
Magnetization = 0.000 μB per atom
Energy relative to the lowest polymorph listed for this composition = 0.300 eV/atom
Crystal system = orthorhombic
Calculated volume = 28.4 Å³/atom